LiDySO | PBE-GGA | relaxed

As for the final energy: -6.07 eV per atom. For the polymorph energy (0 for the lowest one), the calculation gives 280 meV/atom. As for the space-group type: Pmc2_1, No. 26.

```
LiDySO
1.0
-1.587 -0.685 -3.580
-5.184 -2.393 2.756
-2.559 5.613 0.060
Dy Li O S
2 2 2 2
Direct
0.500 0.841 0.020
0.500 0.159 0.520
0.000 0.287 0.089
0.000 0.713 0.589
0.500 0.139 0.174
0.500 0.861 0.674
0.000 0.654 0.208
0.000 0.346 0.708
```


PrGa5NiPd | PBE-GGA | relaxed

As for the final energy: -4.37 eV per atom. As for the space-group type: Imm2, No. 44.

```
PrGa5NiPd
1.0
4.460 -3.992 2.309
-2.986 -2.038 5.300
-0.254 -0.152 -6.409
Ga Ni Pd Pr
5 1 1 1
Direct
0.006 0.006 0.000
0.650 0.349 0.301
0.968 0.652 0.316
0.336 0.652 0.684
0.048 0.349 0.699
0.242 0.242 0.000
0.757 0.757 0.000
0.493 0.993 0.500
```


Cd2F3 | PBE-GGA | relaxed

As for the final energy: -3.29 eV per atom. As for the space-group type: R-3c, No. 167.

```
Cd2F3
1.0
4.690 -3.041 0.000
4.690 3.041 0.000
-2.718 0.000 4.884
Cd F
4 6
Direct
0.115 0.615 0.135
0.885 0.385 0.365
0.615 0.115 0.635
0.385 0.885 0.865
0.985 0.015 0.000
0.485 0.250 0.235
0.515 0.750 0.265
0.015 0.985 0.500
0.250 0.485 0.735
0.750 0.515 0.765
```


Q: Number 2 is which compound?
A: PrGa5NiPd